SrCu3Tc | the Alexandria database | PBE | relaxed; spin magnetization = 0.85 μB per atom; space group = Pm-3m (221); formation enthalpy at 0 K = 968 kJ/mol of formula units; volume = 26.00 Å³ per atom
1.0
-1.881 -4.418 1.613
2.417 0.582 4.413
-4.035 2.409 1.892
Cu Sr Tc
3 1 1
direct
0.000 0.000 0.500
0.500 0.000 0.000
0.000 0.500 0.000
0.000 0.000 0.000
0.500 0.500 0.500


Nd8Dy3Mg2 | the Alexandria database | PBE | relaxed; spin magnetization = 0.00 μB per atom; space group = C2/m (12); formation enthalpy at 0 K = 180 kJ/mol of formula units; volume = 34.39 Å³ per atom
1.0
5.486 0.362 -1.510
-1.457 7.080 -3.598
2.711 1.089 10.104
Dy Mg Nd
3 2 8
direct
0.000 0.707 0.000
0.000 0.293 0.000
0.500 0.000 0.000
0.499 0.764 0.529
0.501 0.236 0.471
0.000 0.870 0.739
0.500 0.820 0.227
0.500 0.180 0.773
0.000 0.327 0.655
0.000 0.673 0.345
0.500 0.407 0.227
0.000 0.130 0.261
0.500 0.593 0.773


NaReI2N | the Alexandria database | PBE | relaxed; spin magnetization = 0.46 μB per atom; E_form (uncorrected) = 2.100 eV/atom; space group = P4/mmm (123); volume = 24.58 Å³ per atom
1.0
-1.768 1.586 4.990
-4.013 -3.794 -0.216
2.449 -2.688 1.722
Re N I Na
1 1 2 1
direct
0.500 0.500 0.500
0.000 0.000 0.500
0.000 0.500 0.000
0.500 0.000 0.000
0.000 0.000 0.000


GdHoErMg | the Alexandria database | PBE | relaxed; spin magnetization = 1.87 μB per atom; space group = F-43m (216); formation enthalpy at 0 K = 14 kJ/mol of formula units; volume = 29.16 Å³ per atom
1.0
5.484 0.000 0.000
2.742 4.749 0.000
2.742 1.583 4.478
Ho Gd Mg Er
1 1 1 1
direct
0.750 0.750 0.750
0.250 0.250 0.250
0.000 0.000 0.000
0.500 0.500 0.500


Dy5NbRu6 | the Alexandria database | PBE | relaxed; spin magnetization = 0.00 μB per atom; space group = Immm (71); formation enthalpy at 0 K = -397 kJ/mol of formula units; volume = 18.98 Å³ per atom
1.0
4.688 -0.298 0.760
-0.019 6.248 2.562
1.113 0.323 8.119
Ru Dy Nb
6 5 1
direct
0.500 0.771 0.000
0.157 0.919 0.685
0.843 0.081 0.315
0.500 0.229 0.000
0.157 0.395 0.685
0.843 0.605 0.315
0.000 0.500 0.000
0.665 0.665 0.669
0.668 0.168 0.665
0.332 0.832 0.335
0.335 0.335 0.331
0.000 0.000 0.000


TbNd6Y5 | the Alexandria database | PBE | relaxed; spin magnetization = 0.00 μB per atom; space group = C2/m (12); formation enthalpy at 0 K = 10 kJ/mol of formula units; volume = 33.53 Å³ per atom
1.0
0.421 7.097 9.546
-5.491 -1.464 2.712
-0.289 -4.691 4.191
Y Nd Tb
5 6 1
direct
0.000 0.333 0.333
0.000 0.667 0.667
0.500 0.833 0.333
0.500 0.500 0.000
0.500 0.167 0.667
0.750 0.750 0.000
0.250 0.584 0.333
0.250 0.917 0.667
0.750 0.083 0.333
0.250 0.250 0.000
0.750 0.416 0.667
0.000 0.000 0.000